Record 1
Zr2MnSb: optimized geometry, GGA-PBE.

formation energy without anion corrections	0.105	eV per atom
total magnetic moment	5.43	Bohr magnetons per cell
symmetry	I-42d
final energy	-7.49	eV/atom

Cell: 6.140 6.140 6.140 Å, 103.27 103.27 122.75°
Fractional positions:
Zr 0.100 0.625 0.975
Zr 0.375 0.350 0.475
Zr 0.650 0.125 0.025
Zr 0.875 0.900 0.525
Mn 0.000 0.000 0.000
Mn 0.750 0.250 0.500
Sb 0.250 0.750 0.500
Sb 0.500 0.500 0.000

Record 2
ZrMn2Sb: optimized geometry, GGA-PBE.

formation energy without anion corrections	-0.050	eV per atom
total magnetic moment	5.54	Bohr magnetons per cell
symmetry	P4/mmm
final energy	-7.80	eV/atom

Cell: 3.497 3.497 5.948 Å, 90.00 90.00 90.00°
Fractional positions:
Zr 0.000 0.000 0.000
Mn 0.500 0.500 0.243
Mn 0.500 0.500 0.757
Sb 0.000 0.000 0.500

Record 3
Zr2MnSb: optimized geometry, GGA-PBE.

formation energy without anion corrections	-0.183	eV per atom
total magnetic moment	3.10	Bohr magnetons per cell
symmetry	P4mm
final energy	-7.78	eV/atom

Cell: 3.692 3.692 6.144 Å, 90.00 90.00 90.00°
Fractional positions:
Zr 0.000 0.000 0.000
Zr 0.500 0.500 0.276
Mn 0.000 0.000 0.509
Sb 0.500 0.500 0.759

Record 4
ZrMn2Sb: optimized geometry, GGA-PBE.

formation energy without anion corrections	0.606	eV per atom
total magnetic moment	0.00	Bohr magnetons per cell
symmetry	I-42d
final energy	-7.15	eV/atom

Cell: 9.382 9.382 9.382 Å, 155.02 155.02 35.61°
Fractional positions:
Zr 0.000 0.000 0.000
Zr 0.750 0.250 0.500
Mn 0.048 0.625 0.923
Mn 0.375 0.298 0.423
Mn 0.702 0.125 0.077
Mn 0.875 0.952 0.577
Sb 0.250 0.750 0.500
Sb 0.500 0.500 0.000

Record 5
ZrMnSb4: optimized geometry, GGA-PBE.

formation energy without anion corrections	0.581	eV per atom
total magnetic moment	3.29	Bohr magnetons per cell
symmetry	F-43m
final energy	-5.12	eV/atom

Cell: 6.090 6.090 6.090 Å, 60.00 60.00 60.00°
Fractional positions:
Zr 0.000 0.000 0.000
Mn 0.750 0.750 0.750
Sb 0.375 0.375 0.375
Sb 0.375 0.375 0.875
Sb 0.375 0.875 0.375
Sb 0.875 0.375 0.375

Record 6
Zr2MnSb: optimized geometry, GGA-PBE.

formation energy without anion corrections	-0.319	eV per atom
total magnetic moment	2.68	Bohr magnetons per cell
symmetry	Amm2
final energy	-7.92	eV/atom

Cell: 4.103 5.682 5.682 Å, 38.97 90.00 90.00°
Fractional positions:
Zr 0.000 0.000 0.000
Zr 0.500 0.300 0.300
Mn 0.500 0.558 0.558
Sb 0.000 0.721 0.721

Record 7
Zr2MnSb: optimized geometry, GGA-PBE.

formation energy without anion corrections	0.043	eV per atom
total magnetic moment	2.29	Bohr magnetons per cell
symmetry	F-43m
final energy	-7.55	eV/atom

Cell: 4.812 4.812 4.812 Å, 60.00 60.00 60.00°
Fractional positions:
Zr 0.000 0.000 0.000
Zr 0.250 0.250 0.250
Mn 0.500 0.500 0.500
Sb 0.750 0.750 0.750

Record 8
Zr2MnSb: optimized geometry, GGA-PBE.

formation energy without anion corrections	-0.245	eV per atom
total magnetic moment	3.33	Bohr magnetons per cell
symmetry	I4/mmm
final energy	-7.84	eV/atom

Cell: 5.315 5.315 5.315 Å, 132.04 132.04 70.17°
Fractional positions:
Zr 0.250 0.750 0.500
Zr 0.750 0.250 0.500
Mn 0.000 0.000 0.000
Sb 0.500 0.500 0.000

Record 9
Zr2MnSb: optimized geometry, GGA-PBE.

formation energy without anion corrections	-0.228	eV per atom
total magnetic moment	2.27	Bohr magnetons per cell
symmetry	Cmmm
final energy	-7.83	eV/atom

Cell: 4.830 4.830 3.569 Å, 90.00 90.00 104.17°
Fractional positions:
Zr 0.000 0.500 0.000
Zr 0.500 0.000 0.000
Mn 0.000 0.000 0.500
Sb 0.500 0.500 0.500

Record 10
ZrMn2Sb: optimized geometry, GGA-PBE.

formation energy without anion corrections	0.102	eV per atom
total magnetic moment	5.65	Bohr magnetons per cell
symmetry	F-43m
final energy	-7.65	eV/atom

Cell: 4.646 4.646 4.646 Å, 60.00 60.00 60.00°
Fractional positions:
Zr 0.000 0.000 0.000
Mn 0.250 0.250 0.250
Mn 0.500 0.500 0.500
Sb 0.750 0.750 0.750

Record 11
ZrMn2Sb: optimized geometry, GGA-PBE.

formation energy without anion corrections	0.263	eV per atom
total magnetic moment	0.80	Bohr magnetons per cell
symmetry	R3m
final energy	-7.49	eV/atom

Cell: 8.830 8.830 8.830 Å, 20.75 20.75 20.75°
Fractional positions:
Zr 0.000 0.000 0.000
Mn 0.484 0.484 0.484
Mn 0.753 0.753 0.753
Sb 0.237 0.237 0.237

Record 12
ZrMn4Sb: optimized geometry, GGA-PBE.

formation energy without anion corrections	-0.023	eV per atom
total magnetic moment	4.37	Bohr magnetons per cell
symmetry	F-43m
final energy	-8.25	eV/atom

Cell: 4.949 4.949 4.949 Å, 60.00 60.00 60.00°
Fractional positions:
Zr 0.000 0.000 0.000
Mn 0.128 0.624 0.624
Mn 0.624 0.128 0.624
Mn 0.624 0.624 0.128
Mn 0.624 0.624 0.624
Sb 0.250 0.250 0.250

Record 13
ZrMnSb: optimized geometry, GGA-PBE.

formation energy without anion corrections	0.108	eV per atom
total magnetic moment	3.44	Bohr magnetons per cell
symmetry	P3m1
final energy	-7.17	eV/atom

Cell: 3.251 3.251 6.895 Å, 90.00 90.00 120.00°
Fractional positions:
Zr 0.000 0.000 0.000
Mn 0.667 0.333 0.319
Sb 0.333 0.667 0.643

Record 14
Zr2MnSb: optimized geometry, GGA-PBE.

formation energy without anion corrections	-0.235	eV per atom
total magnetic moment	2.20	Bohr magnetons per cell
symmetry	P4/mmm
final energy	-7.83	eV/atom

Cell: 3.637 3.637 6.104 Å, 90.00 90.00 90.00°
Fractional positions:
Zr 0.000 0.000 0.242
Zr 0.000 0.000 0.758
Mn 0.500 0.500 0.000
Sb 0.500 0.500 0.500

Record 15
Zr2MnSb: optimized geometry, GGA-PBE.

formation energy without anion corrections	-0.242	eV per atom
total magnetic moment	1.93	Bohr magnetons per cell
symmetry	Imm2
final energy	-7.84	eV/atom

Cell: 5.613 5.613 5.613 Å, 141.88 131.70 63.14°
Fractional positions:
Zr 0.000 0.000 0.000
Zr 0.734 0.234 0.500
Mn 0.500 0.500 0.000
Sb 0.276 0.776 0.500

Record 16
ZrMn2Sb: optimized geometry, GGA-PBE.

formation energy without anion corrections	0.153	eV per atom
total magnetic moment	5.68	Bohr magnetons per cell
symmetry	C2/m
final energy	-7.60	eV/atom

Cell: 5.475 5.475 3.078 Å, 104.52 104.52 115.72°
Fractional positions:
Zr 0.000 0.000 0.000
Mn 0.000 0.500 0.500
Mn 0.500 0.000 0.500
Sb 0.500 0.500 0.000

Record 17
Zr2MnSb: optimized geometry, GGA-PBE.

formation energy without anion corrections	-0.258	eV per atom
total magnetic moment	3.05	Bohr magnetons per cell
symmetry	P4/mmm
final energy	-7.86	eV/atom

Cell: 4.267 4.267 4.415 Å, 90.00 90.00 90.00°
Fractional positions:
Zr 0.000 0.500 0.000
Zr 0.500 0.000 0.000
Mn 0.000 0.000 0.500
Sb 0.500 0.500 0.500

Record 18
Zr2MnSb: optimized geometry, GGA-PBE.

formation energy without anion corrections	-0.170	eV per atom
total magnetic moment	0.00	Bohr magnetons per cell
symmetry	Cmmm
final energy	-7.77	eV/atom

Cell: 3.195 3.195 7.895 Å, 90.00 90.00 97.82°
Fractional positions:
Zr 0.000 0.000 0.201
Zr 0.000 0.000 0.799
Mn 0.500 0.500 0.000
Sb 0.500 0.500 0.500

Record 19
ZrMn2Sb: optimized geometry, GGA-PBE.

formation energy without anion corrections	0.056	eV per atom
total magnetic moment	6.07	Bohr magnetons per cell
symmetry	Pm
final energy	-7.70	eV/atom

Cell: 3.157 4.429 5.394 Å, 90.00 101.20 90.00°
Fractional positions:
Zr 0.000 0.000 0.000
Mn 0.343 0.000 0.476
Mn 0.745 0.500 0.312
Sb 0.419 0.500 0.764

Record 20
ZrMnSb: optimized geometry, GGA-PBE.

formation energy without anion corrections	-0.037	eV per atom
total magnetic moment	0.00	Bohr magnetons per cell
symmetry	I4mm
final energy	-7.32	eV/atom

Cell: 5.760 5.760 5.760 Å, 147.63 147.63 46.44°
Fractional positions:
Zr 0.000 0.000 0.000
Mn 0.657 0.657 0.000
Sb 0.290 0.290 0.000